Record 1
# Ce2SmIn

A relaxed structure of Ce2SmIn (PBE-GGA, the Alexandria database).

The calculation puts the density at 7.89 g/cm³. The energy relative to the elements comes out at -0.212 eV/atom. The calculation puts the magnetization at 1.263 μB/f.u. The raw total energy comes out at -5.04 eV/atom.

The structure belongs to space group P2_1/m (No. 11); the cell edges are 6.530, 5.179 and 6.791 Å and the angles 90.00°, 90.28° and 90.00°. Symmetry generates all atoms from Ce at (0.030, 0.250, 0.396), Ce at (0.469, 0.250, 0.397), Sm at (0.252, 0.250, 0.894) and In at (0.248, 0.750, 0.175).



Record 2
# Tb5Pm2Th5

A relaxed structure of Tb5Pm2Th5 (PBE-GGA, the Alexandria database).

The calculation puts the density at 9.55 g/cm³. The energy relative to the elements comes out at 0.050 eV/atom. The calculation puts the magnetization at 0.000 μB/f.u. The raw total energy comes out at -5.76 eV/atom.

The structure belongs to space group C2/m (No. 12); the cell edges are 15.198, 5.061 and 11.346 Å and the angles 90.00°, 116.59° and 90.00°. Symmetry generates all atoms from Tb at (0.000, 0.000, 0.000), Tb at (0.085, 0.000, 0.748), Tb at (0.168, 0.000, 0.505), Pm at (0.084, 0.500, 0.249), Th at (0.000, 0.500, 0.500), Th at (0.170, 0.500, 0.002) and Th at (0.248, 0.500, 0.753).